! Ac3Sn2Ge4 | the Alexandria database | GGA-PBE | optimized geometry; values from VASP
&SYSTEM
  ibrav = 0, nat = 9, ntyp = 3
/
ATOMIC_SPECIES
Ac 227.00 Ac.upf
Sn 118.71 Sn.upf
Ge 72.64 Ge.upf
CELL_PARAMETERS angstrom
-1.033 -4.208 1.923
6.445 0.979 -0.239
-2.540 4.221 7.876
ATOMIC_POSITIONS angstrom
Ac -0.315 0.366 6.478
Ac 0.000 0.000 0.000
Ac 3.186 0.626 3.082
Sn 0.191 -1.201 3.319
Sn 2.681 2.193 6.242
Ge 2.077 -2.427 1.649
Ge 0.795 3.419 7.911
Ge 3.262 -0.553 6.388
Ge -0.391 1.545 3.172
! - Electronic total energy: -4.874 eV/atom
! - Formation energy: -0.563 eV per atom
! - D(E_F): 4.77 states/eV/cell